VASP calculation (meta-GGA SCAN) on a PBEsol-optimized structure of Sc2BeBiSe.

## Properties
Its total energy is -26.654 eV per atom. The density of states at the Fermi level comes out at 3.00 states/eV/f.u.

Cell: 4.176 5.059 5.059 Å, 90.00 90.00 90.00°
Fractional coordinates of all 5 atoms:
Sc  0.000  0.500  0.000
Be  0.500  0.000  0.000
Se  0.000  0.000  0.000
Sc  0.000  0.000  0.500
Bi  0.500  0.500  0.500

---

VASP calculation (meta-GGA SCAN) on a PBEsol-optimized structure of TiBeBi2Se.

## Properties
Its total energy is -38.996 eV per atom. The density of states at the Fermi level comes out at 3.81 states/eV/f.u.

Cell: 4.688 5.397 5.397 Å, 90.00 90.00 90.00°
Fractional coordinates of all 5 atoms:
Se  0.500  0.000  0.000
Bi  0.000  0.000  0.500
Be  0.500  0.500  0.500
Bi  0.000  0.500  0.000
Ti  0.000  0.000  0.000

---

VASP calculation (meta-GGA SCAN) on a PBEsol-optimized structure of BeSi2Bi.

## Properties
Its total energy is -25.196 eV per atom. The density of states at the Fermi level comes out at 1.12 states/eV/f.u.

Cell: 5.165 5.165 7.388 Å, 110.46 110.46 90.00°
Fractional coordinates of all 8 atoms:
Si  0.764  0.375  0.250
Bi  0.000  0.000  0.000
Si  0.625  0.514  0.750
Be  0.750  0.250  0.500
Si  0.486  0.875  0.250
Bi  0.250  0.750  0.500
Si  0.125  0.236  0.750
Be  0.500  0.500  0.000

---

VASP calculation (meta-GGA SCAN) on a PBEsol-optimized structure of SrBe2Bi.

## Properties
Its total energy is -27.199 eV per atom. The density of states at the Fermi level comes out at 0.85 states/eV/f.u. The value obtained for the energy relative to the elements is 192 meV per atom.

Cell: 4.681 4.681 9.639 Å, 104.05 104.05 90.00°
Fractional coordinates of all 8 atoms:
Be  0.125  0.875  0.750
Sr  0.750  0.250  0.500
Be  0.125  0.375  0.250
Be  0.625  0.875  0.750
Be  0.125  0.875  0.250
Bi  0.250  0.750  0.500
Sr  0.500  0.500  0.000
Bi  0.000  0.000  0.000

---

VASP calculation (meta-GGA SCAN) on a PBEsol-optimized structure of TaBeBi3.

## Properties
Its total energy is -60.131 eV per atom. The density of states at the Fermi level comes out at 4.76 states/eV/f.u. The value obtained for the energy relative to the elements is 1205 meV per atom.

Cell: 4.963 4.963 4.963 Å, 90.00 90.00 90.00°
Site moments in Bohr magnetons follow the coordinates.
Fractional coordinates of all 5 atoms:
Bi  0.000  0.000  0.500  0.02
Bi  0.500  0.000  0.000  0.02
Be  0.000  0.000  0.000  0.06
Bi  0.000  0.500  0.000  0.02
Ta  0.500  0.500  0.500  1.79

---

VASP calculation (meta-GGA SCAN) on a PBEsol-optimized structure of Be3TcBi.

## Properties
Its total energy is -23.340 eV per atom. The density of states at the Fermi level comes out at 2.59 states/eV/f.u. The value obtained for the energy relative to the elements is 2000 meV per atom.

Cell: 4.560 4.560 4.560 Å, 90.00 90.00 90.00°
Site moments in Bohr magnetons follow the coordinates.
Fractional coordinates of all 5 atoms:
Be  0.000  0.500  0.000  -0.05
Tc  0.500  0.500  0.500  3.19
Bi  0.000  0.000  0.000  0.02
Be  0.500  0.000  0.000  -0.05
Be  0.000  0.000  0.500  -0.05

---

VASP calculation (meta-GGA SCAN) on a PBEsol-optimized structure of BeTcBi3.

## Properties
Its total energy is -53.891 eV per atom. The density of states at the Fermi level comes out at 3.74 states/eV/f.u. The value obtained for the energy relative to the elements is 1139 meV per atom.

Cell: 4.940 4.940 4.940 Å, 90.00 90.00 90.00°
Site moments in Bohr magnetons follow the coordinates.
Fractional coordinates of all 5 atoms:
Be  0.000  0.000  0.000  0.02
Bi  0.500  0.000  0.000  -0.06
Bi  0.000  0.000  0.500  -0.06
Tc  0.500  0.500  0.500  3.26
Bi  0.000  0.500  0.000  -0.06

---

VASP calculation (meta-GGA SCAN) on a PBEsol-optimized structure of BeBiTe2.

## Properties
Its total energy is -39.285 eV per atom. The density of states at the Fermi level comes out at 1.19 states/eV/f.u.

Cell: 3.916 3.916 7.743 Å, 75.35 75.35 60.00°
Fractional coordinates of all 4 atoms:
Te  0.230  0.230  0.311
Te  0.770  0.770  0.689
Bi  0.000  0.000  0.000
Be  0.500  0.500  0.500

---

VASP calculation (meta-GGA SCAN) on a PBEsol-optimized structure of BeBi2TeW.

## Properties
Its total energy is -52.419 eV per atom. The density of states at the Fermi level comes out at 3.41 states/eV/f.u.

Cell: 5.140 5.392 5.392 Å, 90.00 90.00 90.00°
Fractional coordinates of all 5 atoms:
Be  0.500  0.500  0.500
Te  0.500  0.000  0.000
W  0.000  0.000  0.000
Bi  0.000  0.000  0.500
Bi  0.000  0.500  0.000

---

VASP calculation (meta-GGA SCAN) on a PBEsol-optimized structure of BeBi2TeW.

## Properties
Its total energy is -52.489 eV per atom. The density of states at the Fermi level comes out at 3.82 states/eV/f.u.

Cell: 4.464 5.087 5.087 Å, 90.00 90.00 90.00°
Site moments in Bohr magnetons follow the coordinates.
Fractional coordinates of all 5 atoms:
W  0.500  0.000  0.000  2.04
Bi  0.000  0.500  0.000  0.00
Be  0.000  0.000  0.000  0.01
Te  0.500  0.500  0.500  -0.03
Bi  0.000  0.000  0.500  0.00

---

VASP calculation (meta-GGA SCAN) on a PBEsol-optimized structure of BeTlBi2.

## Properties
Its total energy is -58.172 eV per atom. The density of states at the Fermi level comes out at 1.85 states/eV/f.u. The value obtained for the energy relative to the elements is 295 meV per atom.

Cell: 5.939 5.939 8.128 Å, 111.43 111.43 90.00°
Fractional coordinates of all 8 atoms:
Bi  0.457  0.875  0.250
Bi  0.125  0.207  0.750
Bi  0.793  0.375  0.250
Be  0.500  0.500  0.000
Tl  0.250  0.750  0.500
Bi  0.625  0.543  0.750
Tl  0.000  0.000  0.000
Be  0.750  0.250  0.500

---

VASP calculation (meta-GGA SCAN) on a PBEsol-optimized structure of BeBi3W.

## Properties
Its total energy is -60.492 eV per atom. The density of states at the Fermi level comes out at 3.61 states/eV/f.u. The value obtained for the energy relative to the elements is 1464 meV per atom.

Cell: 4.957 4.957 4.957 Å, 90.00 90.00 90.00°
Site moments in Bohr magnetons follow the coordinates.
Fractional coordinates of all 5 atoms:
W  0.500  0.500  0.500  2.81
Bi  0.500  0.000  0.000  -0.01
Be  0.000  0.000  0.000  0.08
Bi  0.000  0.000  0.500  -0.01
Bi  0.000  0.500  0.000  -0.01

---

VASP calculation (meta-GGA SCAN) on a PBEsol-optimized structure of Be2BiW.

## Properties
Its total energy is -38.058 eV per atom. The density of states at the Fermi level comes out at 2.83 states/eV/f.u. The value obtained for the energy relative to the elements is 1185 meV per atom.

Cell: 5.549 5.549 5.549 Å, 104.51 104.51 119.92°
Fractional coordinates of all 8 atoms:
W  0.750  0.250  0.500
Be  0.401  0.375  0.526
Be  0.849  0.875  0.474
Bi  0.000  0.000  0.000
Be  0.625  0.151  0.026
Bi  0.250  0.750  0.500
W  0.500  0.500  0.000
Be  0.125  0.599  0.974

---

VASP calculation (meta-GGA SCAN) on a PBEsol-optimized structure of YBeBi3.

## Properties
Its total energy is -52.669 eV per atom. The density of states at the Fermi level comes out at 3.34 states/eV/f.u. The value obtained for the energy relative to the elements is 918 meV per atom.

Cell: 5.765 5.765 5.765 Å, 90.00 90.00 90.00°
Fractional coordinates of all 5 atoms:
Y  0.000  0.000  0.000
Bi  0.000  0.000  0.500
Bi  0.500  0.000  0.000
Be  0.500  0.500  0.500
Bi  0.000  0.500  0.000

---

VASP calculation (meta-GGA SCAN) on a PBEsol-optimized structure of Y2BeBi.

## Properties
Its total energy is -34.732 eV per atom. The density of states at the Fermi level comes out at 3.50 states/eV/f.u. The value obtained for the energy relative to the elements is -78 meV per atom.

Cell: 6.446 6.446 6.446 Å, 105.96 105.96 116.75°
Fractional coordinates of all 8 atoms:
Y  0.413  0.375  0.538
Bi  0.250  0.750  0.500
Y  0.625  0.163  0.038
Y  0.837  0.875  0.462
Y  0.125  0.587  0.962
Bi  0.000  0.000  0.000
Be  0.500  0.500  0.000
Be  0.750  0.250  0.500

---

VASP calculation (meta-GGA SCAN) on a PBEsol-optimized structure of Y2BeBi2.

## Properties
Its total energy is -43.777 eV per atom. The density of states at the Fermi level comes out at 0.49 states/eV/f.u. The value obtained for the energy relative to the elements is -338 meV per atom.

Cell: 4.324 7.697 7.697 Å, 90.00 90.00 90.00°
Fractional coordinates of all 10 atoms:
Bi  0.000  0.343  0.843
Bi  0.000  0.657  0.157
Be  0.000  0.000  0.000
Y  0.500  0.156  0.656
Be  0.000  0.500  0.500
Bi  0.000  0.843  0.657
Y  0.500  0.344  0.156
Bi  0.000  0.157  0.343
Y  0.500  0.656  0.844
Y  0.500  0.844  0.344

---

VASP calculation (meta-GGA SCAN) on a PBEsol-optimized structure of Y2BeBi.

## Properties
Its total energy is -34.856 eV per atom. The density of states at the Fermi level comes out at 2.52 states/eV/f.u. The value obtained for the energy relative to the elements is -201 meV per atom.

Cell: 5.147 5.147 5.147 Å, 60.00 60.00 60.00°
Fractional coordinates of all 4 atoms:
Y  0.250  0.250  0.250
Y  0.750  0.750  0.750
Bi  0.500  0.500  0.500
Be  0.000  0.000  0.000

---

VASP calculation (meta-GGA SCAN) on a PBEsol-optimized structure of BeBr.

## Properties
Its total energy is -11.907 eV per atom. The density of states at the Fermi level comes out at 0.38 states/eV/f.u.

Cell: 3.292 3.292 8.236 Å, 90.00 90.00 120.00°
Fractional coordinates of all 4 atoms:
Br  0.333  0.667  0.712
Br  0.667  0.333  0.288
Be  0.333  0.667  0.121
Be  0.667  0.333  0.879

---

VASP calculation (meta-GGA SCAN) on a PBEsol-optimized structure of Be2Br.

## Properties
Its total energy is -9.069 eV per atom. The density of states at the Fermi level comes out at 1.23 states/eV/f.u.

Cell: 3.044 3.044 5.653 Å, 105.62 105.62 90.00°
Fractional coordinates of all 3 atoms:
Be  0.794  0.794  0.588
Br  0.000  0.000  0.000
Be  0.206  0.206  0.412

---

VASP calculation (meta-GGA SCAN) on a PBEsol-optimized structure of BeBr.

## Properties
Its total energy is -11.099 eV per atom. The density of states at the Fermi level comes out at 0.69 states/eV/f.u.

Cell: 3.185 3.185 3.185 Å, 90.00 90.00 90.00°
Fractional coordinates of all 2 atoms:
Be  0.000  0.000  0.000
Br  0.500  0.500  0.500